First-principles (PBE) data for AcLa2IO4 after structural relaxation, as listed in the Alexandria database.

Cell lengths 4.2030, 4.2030, 10.0062 Å; angles 90.00, 90.00, 90.00 degrees
Fractional coordinates of all 8 atoms:
O 0.5000 0.0000 0.1560
O 0.0000 0.5000 0.8440
O 0.5000 0.0000 0.8440
O 0.0000 0.5000 0.1560
La 0.5000 0.5000 0.2553
La 0.5000 0.5000 0.7447
I 0.0000 0.0000 0.5000
Ac 0.0000 0.0000 0.0000

Space-group type   P4/mmm (123)
Total DFT energy (no corrections)   -7.602 eV per atom
E_form (uncorrected)   -3184 meV/atom
Calculated density   6.54 g/cm³